VASP calculation (PBE) on a relaxed LiPuIn2O6 crystal.

a b c (Å): 5.5489 5.5490 5.9210
angles (deg): 62.06 62.05 60.00
Last column: nearest neighbours and their distance in Å.
Element x y z (fractional)
O  0.7101  0.1192  0.7581  1 Li 2.14, 1 Pu 2.16, 2 In 2.17-2.33
O  0.2243  0.9246  0.2463  2 In 2.14-2.28, 1 Pu 2.15
O  0.4127  0.7101  0.7581  1 Li 2.14, 1 Pu 2.16, 2 In 2.17-2.33
O  0.1192  0.4127  0.7581  1 Li 2.14, 1 Pu 2.16, 2 In 2.17-2.33
O  0.6048  0.2243  0.2463  2 In 2.14-2.28, 1 Pu 2.15
O  0.9246  0.6048  0.2463  2 In 2.14-2.28, 1 Pu 2.15
Pu  0.3197  0.3197  0.0410  6 O 2.15-2.16
In  0.0184  0.0184  0.9449  6 O 2.17-2.28
In  0.5252  0.5252  0.4244  6 O 2.14-2.33
Li  0.8028  0.8027  0.5918  3 O 2.14

Output
The space group is R3, No. 146. As for the total magnetic moment: 3.00 μB/f.u. The calculated volume is 132.8 Å³/f.u. The final energy comes out at -7.1050 eV per atom. Its raw formation energy is -19.6 eV per formula unit.


VASP calculation (PBE) on a relaxed Pu2AlGa6Rh crystal.

a b c (Å): 6.3452 6.3452 12.2054
angles (deg): 74.93 74.93 60.00
Last column: nearest neighbours and their distance in Å.
Element x y z (fractional)
Ga  0.0518  0.6573  0.6337  1 Rh 2.42, 2 Ga 2.50, 1 Al 2.71
Ga  0.3427  0.9482  0.3663  1 Rh 2.42, 2 Ga 2.50, 1 Al 2.71
Ga  0.7948  0.7948  0.1643  1 Rh 2.44, 1 Al 2.53
Ga  0.9482  0.3427  0.3663  1 Rh 2.42, 2 Ga 2.50, 1 Al 2.71
Ga  0.3427  0.3427  0.3663  1 Rh 2.42, 2 Ga 2.50, 1 Al 2.71
Ga  0.7948  0.2461  0.1643  1 Rh 2.44, 1 Al 2.53
Ga  0.2052  0.7539  0.8357  1 Rh 2.44, 1 Al 2.53
Ga  0.2052  0.2052  0.8357  1 Rh 2.44, 1 Al 2.53
Ga  0.6573  0.0518  0.6337  1 Rh 2.42, 2 Ga 2.50, 1 Al 2.71
Ga  0.6573  0.6573  0.6337  1 Rh 2.42, 2 Ga 2.50, 1 Al 2.71
Ga  0.2461  0.7948  0.1643  1 Rh 2.44, 1 Al 2.53
Ga  0.7539  0.2052  0.8357  1 Rh 2.44, 1 Al 2.53
Pu  0.3068  0.3068  0.0797  12 Ga 3.33-3.64
Pu  0.8677  0.8677  0.3969  12 Ga 3.11-3.22
Pu  0.1323  0.1323  0.6031  12 Ga 3.11-3.22
Pu  0.6932  0.6932  0.9203  12 Ga 3.33-3.64
Al  0.5000  0.5000  0.5000  2 Rh 2.53, 6 Ga 2.71
Al  0.0000  0.0000  0.0000  6 Ga 2.53
Rh  0.5725  0.5725  0.2826  6 Ga 2.42-2.44, 1 Al 2.53
Rh  0.4275  0.4275  0.7174  6 Ga 2.42-2.44, 1 Al 2.53

Output
The formation energy is -257.9 meV per atom. The space group is R-3m, No. 166. As for the total magnetic moment: 11.16 μB/f.u. The calculated volume is 203.0 Å³/f.u. The final energy comes out at -6.0498 eV per atom.